Entry 1:
Here is crystalline Sc2Tl3Te6Pd at its relaxed geometry from the Alexandria database. Energies are from PBE-GGA.

Cell lengths 7.3140, 7.3140, 8.3118 Å; angles 98.54, 98.54, 119.91 degrees
Last column: nearest neighbours and their distance in Å.
Atoms (fractional coordinates):
Sc: 0.3365 0.6635 0.0000  6 Te 2.94-2.96
Sc: 0.6635 0.3365 0.0000  6 Te 2.94-2.96
Tl: 0.1797 0.8203 0.5000  6 Te 3.41-3.43
Tl: 0.8203 0.1797 0.5000  6 Te 3.41-3.43
Tl: 0.5000 0.5000 0.5000  6 Te 3.38-3.42
Te: 0.9397 0.6210 0.8078  1 Pd 2.77, 2 Sc 2.94-2.95
Te: 0.7460 0.7460 0.2137  1 Pd 2.93, 2 Sc 2.96
Te: 0.0603 0.3790 0.1922  1 Pd 2.77, 2 Sc 2.94-2.95
Te: 0.6210 0.9397 0.8078  1 Pd 2.77, 2 Sc 2.94-2.95
Te: 0.2540 0.2540 0.7863  1 Pd 2.93, 2 Sc 2.96
Te: 0.3790 0.0603 0.1922  1 Pd 2.77, 2 Sc 2.94-2.95
Pd: 0.0000 0.0000 0.0000  6 Te 2.77-2.93

Calculated values
Uncorrected formation energy   -755 kJ/mol of formula units
E_tot   -4.30 eV/atom

Entry 2:
Here is crystalline ThSc3Pd12 at its relaxed geometry from the Alexandria database. Energies are from PBE-GGA.

Cell lengths 4.0883, 4.0883, 16.0510 Å; angles 90.00, 90.00, 90.00 degrees
Last column: nearest neighbours and their distance in Å.
Atoms (fractional coordinates):
Th: 0.0000 0.0000 0.0000  12 Pd 2.89-2.95
Sc: 0.0000 0.0000 0.2576  12 Pd 2.81-2.89
Sc: 0.0000 0.0000 0.5000  12 Pd 2.83-2.89
Sc: 0.0000 0.0000 0.7424  12 Pd 2.81-2.89
Pd: 0.5000 0.5000 0.0000  4 Th 2.89, 8 Pd 2.95
Pd: 0.5000 0.5000 0.2557  8 Pd 2.83-2.84, 4 Sc 2.89
Pd: 0.5000 0.5000 0.5000  8 Pd 2.83, 4 Sc 2.89
Pd: 0.5000 0.5000 0.7443  8 Pd 2.83-2.84, 4 Sc 2.89
Pd: 0.5000 0.0000 0.1328  8 Pd 2.84-2.95, 2 Sc 2.86, 2 Th 2.95
Pd: 0.5000 0.0000 0.3779  4 Sc 2.81-2.83, 8 Pd 2.83-2.89
Pd: 0.5000 0.0000 0.6221  4 Sc 2.81-2.83, 8 Pd 2.83-2.89
Pd: 0.5000 0.0000 0.8672  8 Pd 2.84-2.95, 2 Sc 2.86, 2 Th 2.95
Pd: 0.0000 0.5000 0.1328  8 Pd 2.84-2.95, 2 Sc 2.86, 2 Th 2.95
Pd: 0.0000 0.5000 0.3779  4 Sc 2.81-2.83, 8 Pd 2.83-2.89
Pd: 0.0000 0.5000 0.6221  4 Sc 2.81-2.83, 8 Pd 2.83-2.89
Pd: 0.0000 0.5000 0.8672  8 Pd 2.84-2.95, 2 Sc 2.86, 2 Th 2.95

Calculated values
Formation energy   -0.88 eV per atom
E_tot   -6.42 eV/atom

Entry 3:
Here is crystalline ThSc2Pd at its relaxed geometry from the Alexandria database. Energies are from PBE-GGA.

Cell lengths 3.4290, 3.4290, 9.7465 Å; angles 79.87, 79.87, 60.00 degrees
Last column: nearest neighbours and their distance in Å.
Atoms (fractional coordinates):
Th: 0.5012 0.5012 0.4964  6 Th 3.43, 6 Sc 3.46-3.53
Sc: 0.0657 0.0657 0.8029  3 Pd 2.74
Sc: 0.2668 0.2668 0.1996  3 Pd 2.74
Pd: 0.6663 0.6663 0.0012  6 Sc 2.74

Calculated values
Formation energy   -0.24 eV per atom
E_tot   -6.56 eV/atom

Entry 4:
Here is crystalline ThScPd2 at its relaxed geometry from the Alexandria database. Energies are from PBE-GGA.

Cell lengths 3.6794, 4.5677, 5.5538 Å; angles 90.00, 109.33, 90.00 degrees
Last column: nearest neighbours and their distance in Å.
Atoms (fractional coordinates):
Th: 0.7232 0.0000 0.9855  7 Pd 2.83-3.03
Sc: 0.4468 0.5000 0.4319  7 Pd 2.92-2.97
Pd: 0.1682 0.5000 0.8753  3 Sc 2.92-2.96, 2 Pd 2.93, 4 Th 2.99
Pd: 0.9928 0.0000 0.5254  3 Th 2.83-3.03, 2 Pd 2.93, 4 Sc 2.97

Calculated values
Formation energy   -0.80 eV per atom
E_tot   -6.84 eV/atom

Entry 5:
Here is crystalline ThSc2Pd8 at its relaxed geometry from the Alexandria database. Energies are from PBE-GGA.

Cell lengths 4.2826, 7.2887, 7.6334 Å; angles 118.52, 106.29, 90.00 degrees
Last column: nearest neighbours and their distance in Å.
Atoms (fractional coordinates):
Th: 0.5000 0.0000 0.0000  12 Pd 2.88-3.05
Sc: 0.1904 0.6904 0.3808  10 Pd 2.71-2.89
Sc: 0.8096 0.3096 0.6192  10 Pd 2.71-2.89
Pd: 0.6605 0.8817 0.3209  3 Sc 2.71-2.78, 5 Pd 2.82-2.96, 1 Th 2.88
Pd: 0.3395 0.5608 0.6791  3 Sc 2.71-2.78, 5 Pd 2.82-2.96, 1 Th 2.88
Pd: 0.1571 0.1571 0.3143  8 Pd 2.82-2.95, 2 Sc 2.89, 2 Th 2.93
Pd: 0.0000 0.2987 0.0000  2 Sc 2.83, 7 Pd 2.93-2.96, 2 Th 3.05
Pd: 0.8429 0.8429 0.6857  8 Pd 2.82-2.95, 2 Sc 2.89, 2 Th 2.93
Pd: 0.6605 0.4392 0.3209  3 Sc 2.71-2.78, 5 Pd 2.82-2.96, 1 Th 2.88
Pd: 0.3395 0.1183 0.6791  3 Sc 2.71-2.78, 5 Pd 2.82-2.96, 1 Th 2.88
Pd: 0.0000 0.7013 0.0000  2 Sc 2.83, 7 Pd 2.93-2.96, 2 Th 3.05

Calculated values
Formation energy   -0.75 eV per atom
E_tot   -6.36 eV/atom

Entry 6:
Here is crystalline ThScPd4 at its relaxed geometry from the Alexandria database. Energies are from PBE-GGA.

Cell lengths 5.4362, 5.4362, 5.4362 Å; angles 60.00, 60.00, 60.00 degrees
Last column: nearest neighbours and their distance in Å.
Atoms (fractional coordinates):
Sc: 0.2500 0.2500 0.2500  12 Pd 3.19, 4 Th 3.33
Pd: 0.6243 0.6243 0.1270  6 Pd 2.70-2.73
Pd: 0.6243 0.1270 0.6243  6 Pd 2.70-2.73
Pd: 0.6243 0.6243 0.6243  6 Pd 2.70-2.73
Pd: 0.1270 0.6243 0.6243  6 Pd 2.70-2.73
Th: 0.0000 0.0000 0.0000  12 Pd 3.19, 4 Sc 3.33

Calculated values
Formation energy   -0.71 eV per atom
E_tot   -6.46 eV/atom